VASP calculation (PBE-GGA) on Nb3SnS after structural relaxation.

SG: Pm-3m (221)
total moment: 1.878 μB/f.u.
energy relative to the elements, uncorrected: 1905 meV/atom
excess energy over the best structure of this formula in the dataset: 2.312 eV/atom

Geometry as extended XYZ:
```
5
Lattice="5.092 0.000 0.000 0.000 5.092 0.000 0.000 0.000 5.092" Properties=species:S:1:pos:R:3 pbc="T T T"
Nb 0.000 0.000 2.546
Nb 0.000 2.546 0.000
Nb 2.546 0.000 0.000
Sn 0.000 0.000 0.000
S 2.546 2.546 2.546
```

---

VASP calculation (PBE-GGA) on HfZn after structural relaxation.

SG: Fddd (70)
total moment: 0.000 μB/f.u.
E_form: 0.0218 eV/atom

Geometry as extended XYZ:
```
8
Lattice="0.000 4.226 5.218 3.476 0.000 5.218 3.476 4.226 0.000" Properties=species:S:1:pos:R:3 pbc="T T T"
Hf 2.607 0.540 3.914
Hf 4.345 2.652 6.523
Hf 2.607 5.799 3.914
Hf 4.345 7.912 6.523
Zn 3.799 3.169 3.914
Zn 5.537 5.282 6.523
Zn 1.414 3.169 3.914
Zn 3.152 5.282 6.523
```

---

VASP calculation (PBE-GGA) on Ni12Pt2Rh after structural relaxation.

SG: P4/nbm (125)
total moment: 10.179 μB/f.u.
E_form: 0.4527 eV/atom

Geometry as extended XYZ:
```
30
Lattice="5.620 0.000 0.000 0.000 5.620 0.000 0.000 0.000 12.735" Properties=species:S:1:pos:R:3 pbc="T T T"
Ni 0.003 2.814 1.417
Ni 0.003 5.617 11.318
Ni 0.591 3.401 7.266
Ni 0.591 5.030 5.469
Ni 1.405 1.405 2.739
Ni 1.405 1.405 4.929
Ni 1.405 1.405 7.806
Ni 1.405 1.405 9.996
Ni 2.220 3.401 5.469
Ni 2.220 5.030 7.266
Ni 2.807 2.814 11.318
Ni 2.807 5.617 1.417
Ni 2.814 0.003 11.318
Ni 2.814 2.807 1.417
Ni 3.401 0.591 5.469
Ni 3.401 2.220 7.266
Ni 4.215 4.215 2.739
Ni 4.215 4.215 4.929
Ni 4.215 4.215 7.806
Ni 4.215 4.215 9.996
Ni 5.030 0.591 7.266
Ni 5.030 2.220 5.469
Ni 5.617 0.003 1.417
Ni 5.617 2.807 11.318
Pt 1.405 4.215 3.154
Pt 1.405 4.215 9.581
Pt 4.215 1.405 3.154
Pt 4.215 1.405 9.581
Rh 1.405 4.215 0.000
Rh 4.215 1.405 0.000
```